Density functional theory data (SCAN) for CsAlSb2I at its PBEsol-relaxed geometry.

Output
M_tot = 1.21 μB/f.u.
Volume = 35.62 Å³/atom
Crystal system = tetragonal
Formation energy from raw total energies = -0.1419 eV/atom

Lattice parameters (Å, degrees): 5.2988 5.2988 6.3427 90.00 90.00 90.00
Space group P4/mmm (No. 123)
One atom of each set of equivalent atoms:
Cs (0.0000, 0.0000, 0.0000) x1
Al (0.5000, 0.5000, 0.5000) x1
Sb (0.0000, 0.5000, 0.5000) x2
I (0.5000, 0.5000, 0.0000) x1